(1)
## MnP2W (PBE-GGA)

Data for MnP2W after structural relaxation.

Unit cell a=7.402 b=7.402 c=7.402 alpha=23.07 beta=23.07 gamma=23.07
Site moments in Bohr magnetons follow the coordinates.
Element x y z (fractional)
P  0.005  0.005  0.005  -0.06
P  0.250  0.250  0.250  -0.01
W  0.504  0.504  0.504  -0.08
Mn  0.741  0.741  0.741  0.95

M_tot, μB/f.u.: 0.75
Symmetry: R3m (160)
Density of states at the Fermi level, states/eV per cell: 1.543
Electronic total energy, eV/cell: -33.0
Energy of formation, eV per atom: -0.004

***

(2)
## HfBN2 (PBE-GGA)

Data for HfBN2 after structural relaxation.

Unit cell a=5.460 b=5.460 c=5.460 alpha=34.77 beta=34.77 gamma=34.77
Element x y z (fractional)
N  0.912  0.912  0.912
N  0.088  0.088  0.088
Hf  0.500  0.500  0.500
B  0.000  0.000  0.000

M_tot, μB/f.u.: 0.00
Symmetry: R-3m (166)
Density of states at the Fermi level, states/eV per cell: 1.601
Electronic total energy, eV/cell: -37.5
Formation energy (no corrections), eV per atom: -1.0667